# 1
Here is an optimized crystal structure of Cs2TlHg5 from the Alexandria database. Energies are from PBE.

Geometry as CIF:
```
data_Cs2TlHg5
_chemical_formula_sum 'Cs2 Tl1 Hg5'
_cell_length_a 7.596
_cell_length_b 7.541
_cell_length_c 7.541
_cell_angle_alpha 97.08
_cell_angle_beta 116.03
_cell_angle_gamma 116.03
_symmetry_space_group_name_H-M 'P 1'
_symmetry_Int_Tables_number 1
_symmetry_space_group_name_Hall 'P 1'
loop_
_atom_site_label
_atom_site_type_symbol
_atom_site_fract_x
_atom_site_fract_y
_atom_site_fract_z
Cs1 Cs 0.484 0.822 0.210
Cs2 Cs 0.484 0.210 0.822
Hg1 Hg 0.230 0.554 0.554
Hg2 Hg 0.242 0.249 0.249
Hg3 Hg 0.799 0.529 0.529
Hg4 Hg 0.985 0.268 0.760
Hg5 Hg 0.985 0.760 0.268
Tl1 Tl 0.791 0.832 0.832
```

Properties
The calculated total energy is -0.033 hartree per atom. The space group is Cm (8).

***

# 2
Here is an optimized crystal structure of ZrHPd2Ru from the Alexandria database. Energies are from PBE.

Geometry as CIF:
```
data_ZrHPd2Ru
_chemical_formula_sum 'Zr1 H1 Pd2 Ru1'
_cell_length_a 4.003
_cell_length_b 4.003
_cell_length_c 4.155
_cell_angle_alpha 90.00
_cell_angle_beta 90.00
_cell_angle_gamma 90.00
_symmetry_space_group_name_H-M 'P 1'
_symmetry_Int_Tables_number 1
_symmetry_space_group_name_Hall 'P 1'
loop_
_atom_site_label
_atom_site_type_symbol
_atom_site_fract_x
_atom_site_fract_y
_atom_site_fract_z
H1 H 0.000 0.000 0.000
Zr1 Zr 0.500 0.500 0.500
Pd1 Pd 0.500 0.000 0.000
Pd2 Pd 0.000 0.500 0.000
Ru1 Ru 0.000 0.000 0.500
```

Properties
The calculated total energy is -0.248 hartree per atom. The space group is P4/mmm (123).